A geometry-optimized MgNi2O4 structure. Source: Alexandria via LeMat-Bulk, functional GGA+U.

Space group: P-1
Spin magnetization: 4.0 Bohr magnetons per cell
Offset from the most stable computed form: 173 meV per atom
DOS at the Fermi energy: 3.3 states/eV per cell

Cell and atoms, written as POSCAR:
```
MgNi2O4
1.0
2.981 -0.064 0.004
1.139 7.092 -0.038
1.383 1.148 6.863
O Mg Ni
8 2 4
Direct
0.998 0.695 0.736
0.689 0.651 0.420
0.695 0.991 0.166
0.311 0.349 0.580
0.363 0.674 0.090
0.305 0.009 0.834
0.637 0.326 0.910
0.002 0.305 0.264
0.177 0.833 0.315
0.823 0.167 0.685
0.601 0.533 0.687
0.853 0.819 0.956
0.147 0.181 0.044
0.399 0.467 0.313
```